(1)
Below is a relaxed CrTeS2 crystal, with properties calculated at the PBE level.

The structure belongs to space group I-42d (No. 122); the cell edges are 6.824, 6.824 and 7.267 Å and the angles 90.00°, 90.00° and 90.00°. The inequivalent atoms are Cr at (0.000, 0.000, 0.000), Te at (0.000, 0.000, 0.500) and S at (0.197, 0.250, 0.125).

Its total moment is 3.53 μB/f.u. For the uncorrected formation energy, the calculation gives 54 meV per atom. For the density of states at the Fermi level, the calculation gives 9.43 states/eV/cell. Its total energy is -5.20 eV/atom.



(2)
Below is a relaxed Cr2TeS2 crystal, with properties calculated at the PBE level.

The structure belongs to space group I4/mmm (No. 139); the cell edges are 4.047, 4.047 and 11.634 Å and the angles 90.00°, 90.00° and 90.00°. The inequivalent atoms are Cr at (0.000, 0.000, 0.138), Te at (0.000, 0.000, 0.500) and S at (0.000, 0.500, 0.250).

Its total moment is 6.00 μB/f.u. For the uncorrected formation energy, the calculation gives -68 meV per atom. The offset from the most stable computed form comes out at 9 meV/atom. For the density of states at the Fermi level, the calculation gives 3.19 states/eV/cell. Its total energy is -6.20 eV/atom.